(1)
A relaxed YAsIr2 crystal, computed with PBE.

Results
E_form   -0.31 eV/atom

abc: 5.480 5.480 4.762
angles: 115.62 115.62 33.12
Fractional positions:
Y: 0.000 0.000 0.000
As: 0.500 0.500 0.500
Ir: 0.228 0.228 0.728
Ir: 0.772 0.772 0.272



(2)
A relaxed YAsIr crystal, computed with PBE.

Results
E_form   -0.94 eV/atom

abc: 4.269 4.269 3.826
angles: 90.00 90.00 120.00
Fractional positions:
Y: 0.000 0.000 0.000
As: 0.333 0.667 0.500
Ir: 0.667 0.333 0.500



(3)
A relaxed YAsIr2 crystal, computed with PBE.

Results
E_form   -0.47 eV/atom

abc: 4.783 4.783 4.892
angles: 108.30 108.30 47.90
Fractional positions:
Y: 0.000 0.000 0.000
As: 0.783 0.783 0.356
Ir: 0.228 0.228 0.623
Ir: 0.519 0.519 0.553



(4)
A relaxed Y2AsIr2 crystal, computed with PBE.

Results
E_form   -0.63 eV/atom

abc: 7.177 7.177 4.040
angles: 90.00 90.00 90.00
Fractional positions:
Y: 0.179 0.321 0.000
Y: 0.321 0.821 0.000
Y: 0.679 0.179 0.000
Y: 0.821 0.679 0.000
As: 0.000 0.000 0.500
As: 0.500 0.500 0.500
Ir: 0.127 0.627 0.500
Ir: 0.373 0.127 0.500
Ir: 0.627 0.873 0.500
Ir: 0.873 0.373 0.500



(5)
A relaxed YAsIr2 crystal, computed with PBE.

Results
E_form   -0.30 eV/atom

abc: 3.090 3.945 5.972
angles: 90.00 90.00 90.00
Fractional positions:
Y: 0.000 0.000 0.000
As: 0.500 0.500 0.347
Ir: 0.000 0.000 0.494
Ir: 0.500 0.500 0.756



(6)
A relaxed ZnAs2Ir crystal, computed with PBE.

Results
E_form   -0.02 eV/atom

abc: 4.900 4.900 4.006
angles: 90.00 90.00 120.33
Fractional positions:
Zn: 0.000 0.000 0.000
As: 0.331 0.669 0.500
As: 0.669 0.331 0.500
Ir: 0.500 0.500 0.000



(7)
A relaxed ZnAsIr crystal, computed with PBE.

Results
E_form   0.07 eV/atom

abc: 4.302 4.302 2.964
angles: 90.00 90.00 120.00
Fractional positions:
Zn: 0.000 0.000 0.000
As: 0.667 0.333 0.500
Ir: 0.333 0.667 0.500



(8)
A relaxed ZnAsIr crystal, computed with PBE.

Results
E_form   -0.18 eV/atom

abc: 7.344 7.344 7.344
angles: 33.08 33.08 33.08
Fractional positions:
Zn: 0.127 0.127 0.127
Zn: 0.873 0.873 0.873
As: 0.380 0.380 0.380
As: 0.620 0.620 0.620
Ir: 0.000 0.000 0.000
Ir: 0.500 0.500 0.500



(9)
A relaxed Zn2AsIr crystal, computed with PBE.

Results
E_form   0.04 eV/atom

abc: 4.901 4.901 4.901
angles: 133.94 133.78 67.31
Fractional positions:
Zn: 0.250 0.250 0.000
Zn: 0.750 0.750 0.000
As: 0.500 0.000 0.500
Ir: 0.000 0.500 0.500



(10)
A relaxed Zn2AsIr crystal, computed with PBE.

Results
E_form   0.08 eV/atom

abc: 3.991 3.991 3.823
angles: 90.00 90.00 90.00
Fractional positions:
Zn: 0.000 0.500 0.000
Zn: 0.500 0.000 0.000
As: 0.000 0.000 0.500
Ir: 0.500 0.500 0.500



(11)
A relaxed ZnAs3Ir crystal, computed with PBE.

Results
E_form   1.18 eV/atom

abc: 4.665 4.665 4.665
angles: 90.00 90.00 90.00
Fractional positions:
Zn: 0.000 0.000 0.000
As: 0.000 0.000 0.500
As: 0.000 0.500 0.000
As: 0.500 0.000 0.000
Ir: 0.500 0.500 0.500



(12)
A relaxed Zn2AsIr crystal, computed with PBE.

Results
E_form   0.09 eV/atom

abc: 5.321 5.321 3.036
angles: 104.84 104.84 120.94
Fractional positions:
Zn: 0.000 0.500 0.000
Zn: 0.500 0.000 0.000
As: 0.000 0.000 0.000
Ir: 0.500 0.500 0.000